1.
Here is KCrCd2Rh after structural relaxation from the Alexandria database. Energies are from GGA-PBE.

Values from the calculation:
Space group: No. 123
Total magnetization, μB per formula unit: 5.17
DOS at the Fermi energy, states/eV per cell: 3.327
DFT total energy, eV/atom: -2.3756

Cell lengths 5.628, 5.628, 4.743 Å; angles 90.00, 90.00, 90.00 degrees
Fractional coordinates of all 5 atoms:
K1 0.000 0.000 0.000
Cr1 0.500 0.500 0.500
Cd1 0.000 0.500 0.000
Cd2 0.500 0.000 0.000
Rh1 0.000 0.000 0.500

=====

2.
Here is K2CrCdS4 after structural relaxation from the Alexandria database. Energies are from GGA-PBE.

Values from the calculation:
Space group: No. 70
Total magnetization, μB per formula unit: 2.00
DFT total energy, eV/atom: -4.4525
Formation energy (no corrections), eV per atom: -0.797

Cell lengths 13.463, 12.083, 7.277 Å; angles 84.22, 63.25, 32.54 degrees
Fractional coordinates of all 16 atoms:
K1 0.058 0.058 0.692
K2 0.308 0.308 0.942
K3 0.692 0.692 0.058
K4 0.942 0.942 0.308
Cr1 0.375 0.375 0.375
Cr2 0.625 0.625 0.625
Cd1 0.125 0.125 0.125
Cd2 0.875 0.875 0.875
S1 0.013 0.629 0.538
S2 0.320 0.538 0.629
S3 0.371 0.987 0.680
S4 0.462 0.680 0.987
S5 0.538 0.320 0.013
S6 0.629 0.013 0.320
S7 0.680 0.462 0.371
S8 0.987 0.371 0.462

=====

3.
Here is K2CrCdSe after structural relaxation from the Alexandria database. Energies are from GGA-PBE.

Values from the calculation:
Space group: No. 123
Total magnetization, μB per formula unit: 4.04
DOS at the Fermi energy, states/eV per cell: 1.539
DFT total energy, eV/atom: -3.3365
Formation energy (no corrections), eV per atom: -0.093

Cell lengths 6.430, 6.430, 4.840 Å; angles 90.00, 90.00, 90.00 degrees
Fractional coordinates of all 5 atoms:
K1 0.000 0.500 0.000
K2 0.500 0.000 0.000
Cr1 0.000 0.000 0.500
Cd1 0.500 0.500 0.500
Se1 0.000 0.000 0.000

=====

4.
Here is KCrCdTe3 after structural relaxation from the Alexandria database. Energies are from GGA-PBE.

Values from the calculation:
Space group: No. 11
Total magnetization, μB per formula unit: 2.99
DFT total energy, eV/atom: -3.9848
Formation energy (no corrections), eV per atom: -0.475

Cell lengths 8.915, 4.273, 10.698 Å; angles 90.00, 109.61, 90.00 degrees
Fractional coordinates of all 12 atoms:
K1 0.225 0.250 0.255
K2 0.775 0.750 0.745
Cr1 0.331 0.750 0.862
Cr2 0.669 0.250 0.138
Cd1 0.077 0.250 0.612
Cd2 0.923 0.750 0.388
Te1 0.126 0.250 0.881
Te2 0.265 0.750 0.562
Te3 0.466 0.750 0.130
Te4 0.534 0.250 0.870
Te5 0.735 0.250 0.438
Te6 0.874 0.750 0.119

=====

> Which formula does entry 3 have?

K2CrCdSe

=====

> Look up the total magnetization of the fourth one.

2.99 μB per formula unit

=====

> What is the formula in the third record?

K2CrCdSe

=====

> Among the records above, which one has the highest total magnetization?

KCrCd2Rh